This record from the Alexandria database describes crystalline GaTcTeI2 at its relaxed geometry. The functional is GGA-PBEsol.

Summary:
Its space group is P4/mmm. Its magnetization is 0.222 μB/atom. The calculation puts the uncorrected formation energy at 34.8 kJ/mol of atoms.

a = 5.004 Å, b = 5.552 Å, c = 5.552 Å
α = 90.00°, β = 90.00°, γ = 90.00°
Each line ends with the local moment (μB).
Positions (direct):
Ga 0.500 0.500 0.500  0.01
I 0.000 0.500 0.000  0.03
I 0.000 0.000 0.500  0.03
Te 0.500 0.000 0.000  -0.02
Tc 0.000 0.000 0.000  0.93

=====

This record from the Alexandria database describes crystalline Ga3Te3I at its relaxed geometry. The functional is GGA-PBEsol.

Summary:
Its space group is Pnma. Its magnetization is 0.000 μB/atom. The calculation puts the uncorrected formation energy at -34.8 kJ/mol of atoms.

a = 4.087 Å, b = 11.117 Å, c = 19.278 Å
α = 90.00°, β = 90.00°, γ = 90.00°
Positions (direct):
Ga 0.750 0.441 0.601
Ga 0.750 0.941 0.899
Ga 0.250 0.674 0.507
Te 0.750 0.266 0.696
Te 0.250 0.734 0.304
Te 0.250 0.584 0.634
Ga 0.250 0.160 0.633
I 0.750 0.061 0.329
Ga 0.750 0.840 0.367
Te 0.250 0.234 0.196
I 0.250 0.439 0.829
Te 0.750 0.416 0.366
Te 0.250 0.084 0.866
Ga 0.250 0.660 0.867
I 0.250 0.939 0.671
Te 0.750 0.830 0.503
Te 0.750 0.330 0.997
Ga 0.750 0.826 0.007
Ga 0.250 0.559 0.399
I 0.750 0.561 0.171
Te 0.750 0.916 0.134
Te 0.250 0.670 0.003
Ga 0.750 0.326 0.493
Ga 0.750 0.340 0.133
Ga 0.250 0.174 0.993
Te 0.250 0.170 0.497
Ga 0.250 0.059 0.101
Te 0.750 0.766 0.804

=====

This record from the Alexandria database describes crystalline ZrGaTe2I at its relaxed geometry. The functional is GGA-PBEsol.

Summary:
Its space group is P4/mmm. Its magnetization is 0.000 μB/atom. The calculation puts the uncorrected formation energy at -25.4 kJ/mol of atoms.

a = 5.547 Å, b = 5.547 Å, c = 5.684 Å
α = 90.00°, β = 90.00°, γ = 90.00°
Positions (direct):
Te 0.000 0.500 0.000
I 0.000 0.000 0.500
Te 0.500 0.000 0.000
Zr 0.000 0.000 0.000
Ga 0.500 0.500 0.500

=====

This record from the Alexandria database describes crystalline TlGaI2 at its relaxed geometry. The functional is GGA-PBEsol.

Summary:
Its space group is I-42d. Its magnetization is 0.000 μB/atom. The calculation puts the uncorrected formation energy at -25.9 kJ/mol of atoms.

a = 7.540 Å, b = 7.540 Å, c = 9.080 Å
α = 114.53°, β = 114.53°, γ = 90.00°
Positions (direct):
Ga 0.750 0.250 0.500
Tl 0.250 0.750 0.500
I 0.625 0.600 0.750
I 0.850 0.375 0.250
I 0.400 0.875 0.250
I 0.125 0.150 0.750
Ga 0.500 0.500 0.000
Tl 0.000 0.000 0.000

=====

This record from the Alexandria database describes crystalline TlGaI2 at its relaxed geometry. The functional is GGA-PBEsol.

Summary:
Its space group is Fm-3m. Its magnetization is 0.000 μB/atom. The calculation puts the uncorrected formation energy at -35.4 kJ/mol of atoms.

a = 5.705 Å, b = 5.705 Å, c = 5.705 Å
α = 60.00°, β = 60.00°, γ = 60.00°
Positions (direct):
I 0.750 0.750 0.750
Ga 0.000 0.000 0.000
Tl 0.500 0.500 0.500
I 0.250 0.250 0.250

=====

This record from the Alexandria database describes crystalline TlGaI4 at its relaxed geometry. The functional is GGA-PBEsol.

Summary:
Its space group is P2_1/c. Its magnetization is 0.000 μB/atom. The calculation puts the uncorrected formation energy at -50.7 kJ/mol of atoms.

a = 7.731 Å, b = 7.899 Å, c = 15.753 Å
α = 95.44°, β = 90.00°, γ = 90.00°
Positions (direct):
I 0.404 0.427 0.783
I 0.848 0.996 0.335
I 0.596 0.573 0.217
I 0.766 0.570 0.469
Tl 0.484 0.255 0.361
I 0.096 0.427 0.283
I 0.266 0.430 0.031
Ga 0.864 0.755 0.860
I 0.904 0.573 0.717
Ga 0.636 0.755 0.360
I 0.159 0.861 0.916
I 0.348 0.004 0.165
I 0.234 0.430 0.531
I 0.652 0.996 0.835
I 0.152 0.004 0.665
Tl 0.984 0.745 0.139
I 0.341 0.861 0.416
I 0.659 0.139 0.584
Ga 0.364 0.245 0.640
Ga 0.136 0.245 0.140
Tl 0.516 0.745 0.639
I 0.734 0.570 0.969
I 0.841 0.139 0.084
Tl 0.016 0.255 0.861

=====

This record from the Alexandria database describes crystalline Tl3GaI at its relaxed geometry. The functional is GGA-PBEsol.

Summary:
Its space group is Pm-3m. Its magnetization is 0.000 μB/atom. The calculation puts the uncorrected formation energy at 0.2 kJ/mol of atoms.

a = 5.460 Å, b = 5.460 Å, c = 5.460 Å
α = 90.00°, β = 90.00°, γ = 90.00°
Positions (direct):
I 0.500 0.500 0.500
Ga 0.000 0.000 0.000
Tl 0.000 0.500 0.000
Tl 0.000 0.000 0.500
Tl 0.500 0.000 0.000

=====

This record from the Alexandria database describes crystalline Tl2GaWI at its relaxed geometry. The functional is GGA-PBEsol.

Summary:
Its space group is P4/mmm. Its magnetization is 0.000 μB/atom. The calculation puts the uncorrected formation energy at 84.9 kJ/mol of atoms.

a = 5.154 Å, b = 5.430 Å, c = 5.430 Å
α = 90.00°, β = 90.00°, γ = 90.00°
Positions (direct):
I 0.500 0.000 0.000
Tl 0.000 0.000 0.500
Ga 0.500 0.500 0.500
W 0.000 0.000 0.000
Tl 0.000 0.500 0.000

=====

This record from the Alexandria database describes crystalline ZrTlGaI2 at its relaxed geometry. The functional is GGA-PBEsol.

Summary:
Its space group is P4/mmm. Its magnetization is 0.000 μB/atom. The calculation puts the uncorrected formation energy at -5.2 kJ/mol of atoms.

a = 5.374 Å, b = 5.599 Å, c = 5.599 Å
α = 90.00°, β = 90.00°, γ = 90.00°
Positions (direct):
I 0.000 0.500 0.000
I 0.000 0.000 0.500
Zr 0.000 0.000 0.000
Ga 0.500 0.000 0.000
Tl 0.500 0.500 0.500

=====

This record from the Alexandria database describes crystalline YGaI at its relaxed geometry. The functional is GGA-PBEsol.

Summary:
Its space group is P-3m1. Its magnetization is 0.000 μB/atom. The calculation puts the uncorrected formation energy at -105.5 kJ/mol of atoms.

a = 4.133 Å, b = 4.133 Å, c = 11.391 Å
α = 90.00°, β = 90.00°, γ = 120.00°
Positions (direct):
I 0.333 0.667 0.347
Y 0.000 0.000 0.175
Y 0.000 0.000 0.825
I 0.667 0.333 0.653
Ga 0.667 0.333 0.027
Ga 0.333 0.667 0.973

=====

This record from the Alexandria database describes crystalline YGa2I at its relaxed geometry. The functional is GGA-PBEsol.

Summary:
Its space group is Fm-3m. Its magnetization is 0.000 μB/atom. The calculation puts the uncorrected formation energy at 5.6 kJ/mol of atoms.

a = 5.195 Å, b = 5.195 Å, c = 5.195 Å
α = 60.00°, β = 60.00°, γ = 60.00°
Positions (direct):
Ga 0.750 0.750 0.750
Ga 0.250 0.250 0.250
Y 0.000 0.000 0.000
I 0.500 0.500 0.500

=====

This record from the Alexandria database describes crystalline In3Ga at its relaxed geometry. The functional is GGA-PBEsol.

Summary:
Its space group is I4/mmm. Its magnetization is 0.000 μB/atom. The calculation puts the formation energy at 0.028 eV/atom.

a = 4.659 Å, b = 4.659 Å, c = 5.435 Å
α = 115.38°, β = 115.38°, γ = 90.00°
Positions (direct):
In 0.250 0.750 0.500
In 0.500 0.500 0.000
In 0.750 0.250 0.500
Ga 0.000 0.000 0.000